Record 1
Density functional theory data (GGA-PBE) for crystalline K3Ta2InO9 at its relaxed geometry.

Lattice parameters (Å, degrees): 5.8381 5.8381 7.1737 90.00 90.00 120.00
Last column: nearest neighbours and their distance in Å.
Positions (direct):
O  0.1735  0.3471  0.3195  1 Ta 1.94
O  0.5000  0.0000  0.0000  2 Ta 2.08
O  0.6529  0.8265  0.3195  1 Ta 1.94
O  0.8265  0.1735  0.6805  1 Ta 1.94
O  0.5000  0.5000  0.0000  2 Ta 2.08
O  0.3471  0.1735  0.6805  1 Ta 1.94
O  0.8265  0.6529  0.6805  1 Ta 1.94
O  0.1735  0.8265  0.3195  1 Ta 1.94
O  0.0000  0.5000  0.0000  2 Ta 2.08
Ta  0.6667  0.3333  0.8309  6 O 1.94-2.08
Ta  0.3333  0.6667  0.1691  6 O 1.94-2.08
In  0.0000  0.0000  0.5000  6 O 2.18
K  0.3333  0.6667  0.6641  12 O 2.92-2.95
K  0.0000  0.0000  0.0000  12 O 2.89-2.92
K  0.6667  0.3333  0.3359  12 O 2.92-2.95

Results
As for the volume: 211.7 Å³/cell. Its crystal system is trigonal. The formation energy without anion corrections comes out at -31.548 eV per formula unit. As for the electronic total energy: -0.519 Ry per atom. The density of states at the Fermi level comes out at 9.27 states/eV/cell.

***

Record 2
Density functional theory data (GGA-PBE) for crystalline Pm2Ru at its relaxed geometry.

Lattice parameters (Å, degrees): 3.4785 3.4785 7.2224 103.90 103.90 90.08
Last column: nearest neighbours and their distance in Å.
Positions (direct):
Pm  0.8757  0.8757  0.7504  4 Ru 2.98-2.99
Pm  0.1243  0.1243  0.2496  4 Ru 2.98-2.99
Ru  0.5000  0.5000  0.0000  8 Pm 2.98-2.99

Results
As for the volume: 82.2 Å³/cell. The calculation puts the relative energy among the computed polymorphs at 17 meV per atom. Its crystal system is tetragonal. As for the electronic total energy: -0.474 Ry per atom. The density of states at the Fermi level comes out at 2.10 states/eV/cell.

***

Record 3
Density functional theory data (GGA-PBE) for crystalline Pr5Nd4Ag at its relaxed geometry.

Lattice parameters (Å, degrees): 3.7120 3.7120 24.8078 90.00 90.00 90.00
Last column: nearest neighbours and their distance in Å.
Positions (direct):
Pr  0.5000  0.5000  0.5000  8 Nd 3.70, 4 Pr 3.71
Pr  0.5000  0.5000  0.9207  4 Ag 3.28
Pr  0.5000  0.5000  0.7111  8 Nd 3.68-3.71, 4 Pr 3.71
Pr  0.5000  0.5000  0.2889  8 Nd 3.68-3.71, 4 Pr 3.71
Pr  0.5000  0.5000  0.0793  4 Ag 3.28
Nd  0.0000  0.0000  0.8152  8 Pr 3.68-3.71, 4 Nd 3.71
Nd  0.0000  0.0000  0.1848  8 Pr 3.68-3.71, 4 Nd 3.71
Nd  0.0000  0.0000  0.3947  8 Pr 3.70-3.71, 4 Nd 3.71
Nd  0.0000  0.0000  0.6053  8 Pr 3.70-3.71, 4 Nd 3.71
Ag  0.0000  0.0000  0.0000  8 Pr 3.28

Results
As for the volume: 341.8 Å³/cell. Its crystal system is tetragonal. As for the electronic total energy: -0.339 Ry per atom. The density of states at the Fermi level comes out at 14.37 states/eV/cell.

***

Record 4
Density functional theory data (GGA-PBE) for crystalline KIr2Au at its relaxed geometry.

Lattice parameters (Å, degrees): 10.6540 10.6540 10.6540 15.09 15.09 15.09
Last column: nearest neighbours and their distance in Å.
Positions (direct):
Au  0.2500  0.2500  0.2500  6 Au 2.80, 6 Ir 2.92
Ir  0.9937  0.9937  0.9937  6 Ir 2.80, 3 Au 2.92
Ir  0.5063  0.5063  0.5063  6 Ir 2.80, 3 Au 2.92
K  0.7500  0.7500  0.7500  6 K 2.80

Results
As for the volume: 71.4 Å³/cell. The calculation puts the relative energy among the computed polymorphs at 349 meV per atom. Its crystal system is trigonal. As for the electronic total energy: -0.357 Ry per atom. The density of states at the Fermi level comes out at 4.11 states/eV/cell.

***

Record 5
Density functional theory data (GGA-PBE) for crystalline MnReCl2 at its relaxed geometry.

Lattice parameters (Å, degrees): 8.9217 8.9217 8.9217 160.61 160.27 27.80
Last column: nearest neighbours and their distance in Å.
Positions (direct):
Re  0.3210  0.8210  0.5000  2 Mn 2.45, 4 Cl 2.67
Mn  0.4327  0.4327  0.0000  2 Re 2.45, 4 Cl 2.60
Cl  0.7288  0.2288  0.5000  4 Re 2.67
Cl  0.0175  0.0175  0.0000  4 Mn 2.60

Results
As for the volume: 79.6 Å³/cell. The calculation puts the relative energy among the computed polymorphs at 379 meV per atom. Its crystal system is orthorhombic. The formation energy without anion corrections comes out at 1.046 eV per formula unit. As for the electronic total energy: -0.446 Ry per atom. The density of states at the Fermi level comes out at 1.94 states/eV/cell.

***

Record 6
Density functional theory data (GGA-PBE) for crystalline ThRe4Si4 at its relaxed geometry.

Lattice parameters (Å, degrees): 4.6647 8.1258 8.1258 90.00 90.00 90.00
Last column: nearest neighbours and their distance in Å.
Positions (direct):
Si  0.4175  0.2950  0.1546  1 Si 2.32, 4 Re 2.36-2.45
Si  0.0825  0.2050  0.3454  1 Si 2.32, 4 Re 2.36-2.45
Si  0.5825  0.8454  0.2950  1 Si 2.32, 4 Re 2.36-2.45
Si  0.0825  0.7950  0.6546  1 Si 2.32, 4 Re 2.36-2.45
Si  0.9175  0.6546  0.2050  1 Si 2.32, 4 Re 2.36-2.45
Si  0.4175  0.7050  0.8454  1 Si 2.32, 4 Re 2.36-2.45
Si  0.5825  0.1546  0.7050  1 Si 2.32, 4 Re 2.36-2.45
Si  0.9175  0.3454  0.7950  1 Si 2.32, 4 Re 2.36-2.45
Re  0.9142  0.3762  0.1220  4 Si 2.36-2.45
Re  0.4142  0.6220  0.1238  4 Si 2.36-2.45
Re  0.5858  0.8762  0.6220  4 Si 2.36-2.45
Re  0.9142  0.6238  0.8780  4 Si 2.36-2.45
Re  0.4142  0.3780  0.8762  4 Si 2.36-2.45
Re  0.0858  0.1220  0.6238  4 Si 2.36-2.45
Re  0.0858  0.8780  0.3762  4 Si 2.36-2.45
Re  0.5858  0.1238  0.3780  4 Si 2.36-2.45
Th  0.0000  0.0000  0.0000  4 Re 3.24, 8 Si 3.29-3.33
Th  0.5000  0.5000  0.5000  4 Re 3.24, 8 Si 3.29-3.33

Results
As for the volume: 308.0 Å³/cell. Its crystal system is tetragonal. The formation energy without anion corrections comes out at -2.810 eV per formula unit. As for the electronic total energy: -0.667 Ry per atom. The density of states at the Fermi level comes out at 3.40 states/eV/cell.

***

Record 7
Density functional theory data (GGA-PBE) for crystalline Pm3CoCl2 at its relaxed geometry.

Lattice parameters (Å, degrees): 3.8150 5.8428 7.6678 112.40 104.40 90.00
Last column: nearest neighbours and their distance in Å.
Positions (direct):
Cl  0.6764  0.1764  0.3528  6 Pm 2.98-3.24
Cl  0.3236  0.8236  0.6472  6 Pm 2.98-3.24
Pm  0.0000  0.0000  0.0000  2 Co 2.92, 4 Cl 3.07
Pm  0.3682  0.3682  0.7365  2 Co 2.62
Pm  0.6318  0.6318  0.2635  2 Co 2.62
Co  0.0000  0.5000  0.0000  6 Pm 2.62-2.92

Results
As for the volume: 152.2 Å³/cell. Its crystal system is orthorhombic. The formation energy without anion corrections comes out at -6.213 eV per formula unit. As for the electronic total energy: -0.383 Ry per atom. The density of states at the Fermi level comes out at 3.92 states/eV/cell.

***

Record 8
Density functional theory data (GGA-PBE) for crystalline CeTmTc at its relaxed geometry.

Lattice parameters (Å, degrees): 3.4457 4.7134 4.7134 120.00 90.00 90.00
Last column: nearest neighbours and their distance in Å.
Positions (direct):
Ce  0.2636  0.6667  0.3333  3 Tc 2.83, 3 Tm 3.11
Tc  0.0379  0.0000  0.0000  3 Ce 2.83, 3 Tm 2.96
Tm  0.6984  0.3333  0.6667  3 Tc 2.96, 3 Ce 3.11

Results
As for the volume: 66.3 Å³/cell. The calculation puts the relative energy among the computed polymorphs at 124 meV per atom. Its crystal system is trigonal. As for the electronic total energy: -0.506 Ry per atom. The density of states at the Fermi level comes out at 3.71 states/eV/cell.